Density functional theory data (PBE+U) for a relaxed La2NiRuO6 crystal.

Summary:
Raw total energy ... -7.40 eV per atom
D(E_F) ... 0.524 states/eV/atom

abc: 5.750 5.558 9.662
angles: 55.03 90.00 90.00
Positions (direct):
O 0.209 0.851 0.951
O 0.709 0.149 0.549
O 0.300 0.249 0.045
O 0.791 0.149 0.049
O 0.477 0.664 0.247
O 0.023 0.664 0.747
O 0.800 0.751 0.455
O 0.700 0.751 0.955
O 0.200 0.249 0.545
O 0.977 0.336 0.253
O 0.291 0.851 0.451
O 0.523 0.336 0.753
Ru 0.500 0.000 0.000
Ru 0.000 0.000 0.500
La 0.555 0.237 0.249
La 0.055 0.763 0.251
La 0.945 0.237 0.749
La 0.445 0.763 0.751
Ni 0.000 0.500 0.000
Ni 0.500 0.500 0.500